(1)
PrH20S4N5O16 after structural relaxation. Source: OQMD, functional PBE.

Output
Symmetry   C2/c, No. 15
Total magnetic moment   0.00 μB per cell
Total energy   -5.637 eV per atom

Cell and atoms, written as CIF:
```
data_PrH20S4N5O16
_space_group_name_H-M_alt 'P 1'
_space_group_IT_number 1
_cell_length_a 11.9027
_cell_length_b 11.9027
_cell_length_c 9.2068
_cell_angle_alpha 96.45
_cell_angle_beta 96.45
_cell_angle_gamma 141.40
loop_
_space_group_symop_operation_xyz
'x,y,z'
loop_
_atom_site_label
_atom_site_fract_x
_atom_site_fract_y
_atom_site_fract_z
H1 0.5973 0.4714 0.5420
H2 0.4714 0.5973 0.0420
H3 0.3231 0.3669 0.0265
H4 0.2406 0.9444 0.4217
H5 0.7318 0.2927 0.3450
H6 0.8428 0.2503 0.5784
H7 0.4457 0.7791 0.7715
H8 0.9579 0.3694 0.0471
H9 0.5834 0.7500 0.5811
H10 0.0556 0.7594 0.0783
H11 0.5344 0.7149 0.3889
H12 0.6306 0.0421 0.4529
H13 0.4656 0.2851 0.6111
H14 0.7791 0.4457 0.2715
H15 0.2209 0.5543 0.7285
H16 0.7073 0.2682 0.1550
H17 0.0913 0.6547 0.1424
H18 0.2500 0.4166 0.9189
H19 0.7500 0.5834 0.0811
H20 0.0421 0.6306 0.9529
H21 0.2503 0.8428 0.0784
H22 0.2927 0.7318 0.8450
H23 0.3694 0.9579 0.5471
H24 0.3453 0.9087 0.3576
H25 0.2682 0.7073 0.6550
H26 0.6331 0.6769 0.4735
H27 0.1572 0.7497 0.4216
H28 0.3669 0.3231 0.5265
H29 0.5286 0.4027 0.9580
H30 0.2851 0.4656 0.1111
H31 0.7497 0.1572 0.9216
H32 0.4166 0.2500 0.4189
H33 0.9087 0.3453 0.8576
H34 0.5543 0.2209 0.2285
H35 0.6769 0.6331 0.9735
H36 0.6547 0.0913 0.6424
H37 0.7149 0.5344 0.8889
H38 0.7594 0.0556 0.5783
H39 0.9444 0.2406 0.9217
H40 0.4027 0.5286 0.4580
S1 0.8792 0.5181 0.6641
S2 0.1208 0.4819 0.3359
S3 0.5181 0.8792 0.1641
S4 0.2247 0.1017 0.1261
S5 0.1017 0.2247 0.6261
S6 0.4819 0.1208 0.8359
S7 0.8983 0.7753 0.3739
S8 0.7753 0.8983 0.8739
N1 0.3343 0.4626 0.0265
N2 0.2789 0.8915 0.4347
N3 0.6657 0.5374 0.9735
N4 0.5374 0.6657 0.4735
N5 0.1085 0.7211 0.0653
N6 0.7211 0.1085 0.5653
N7 0.8915 0.2789 0.9347
N8 0.3059 0.6941 0.7500
N9 0.4626 0.3343 0.5265
N10 0.6941 0.3059 0.2500
O1 0.3360 0.7040 0.0454
O2 0.8245 0.8104 0.2790
O3 0.9629 0.4960 0.7672
O4 0.3492 0.1246 0.2309
O5 0.4960 0.9629 0.2672
O6 0.0241 0.6717 0.5982
O7 0.7040 0.3360 0.5454
O8 0.0455 0.8987 0.0294
O9 0.9545 0.1013 0.9706
O10 0.8104 0.8245 0.7790
O11 0.1246 0.3492 0.7309
O12 0.9759 0.3283 0.4018
O13 0.2077 0.3136 0.5126
O14 0.6864 0.7923 0.9874
O15 0.8425 0.5927 0.7604
O16 0.5927 0.8425 0.2604
O17 0.1896 0.1755 0.2210
O18 0.3283 0.9759 0.9018
O19 0.0371 0.5040 0.2328
O20 0.6508 0.8754 0.7691
O21 0.6717 0.0241 0.0982
O22 0.2960 0.6640 0.4546
O23 0.4073 0.1575 0.7396
O24 0.5040 0.0371 0.7328
O25 0.8754 0.6508 0.2691
O26 0.8987 0.0455 0.5294
O27 0.6640 0.2960 0.9546
O28 0.1575 0.4073 0.2396
O29 0.1013 0.9545 0.4706
O30 0.7923 0.6864 0.4874
O31 0.3135 0.2077 0.0126
O32 0.1755 0.1896 0.7210
Pr1 0.0782 0.9218 0.7500
Pr2 0.9218 0.0782 0.2500
```


(2)
PrH10S3N3O11 after structural relaxation. Source: OQMD, functional PBE.

Output
Symmetry   P-1, No. 2
Total magnetic moment   0.01 μB per cell
Total energy   -5.789 eV per atom

Cell and atoms, written as CIF:
```
data_PrH10S3N3O11
_space_group_name_H-M_alt 'P 1'
_space_group_IT_number 1
_cell_length_a 7.6877
_cell_length_b 8.8103
_cell_length_c 9.1159
_cell_angle_alpha 118.11
_cell_angle_beta 94.42
_cell_angle_gamma 91.80
loop_
_space_group_symop_operation_xyz
'x,y,z'
loop_
_atom_site_label
_atom_site_fract_x
_atom_site_fract_y
_atom_site_fract_z
S1 0.8610 0.2255 0.3756
S2 0.8616 0.2727 0.8950
S3 0.1390 0.7745 0.6245
S4 0.3935 0.3179 0.5863
S5 0.6065 0.6821 0.4137
S6 0.1385 0.7272 0.1050
H1 0.6759 0.1009 0.6712
H2 0.6919 0.9871 0.0404
H3 0.6720 0.6853 0.1311
H4 0.3280 0.3147 0.8689
H5 0.3081 0.0129 0.9596
H6 0.3977 0.9195 0.6802
H7 0.1247 0.9821 0.3279
H8 0.6077 0.2093 0.2330
H9 0.8155 0.5594 0.2500
H10 0.8753 0.0178 0.6721
H11 0.7142 0.9866 0.8618
H12 0.6023 0.0805 0.3198
H13 0.4869 0.6619 0.0183
H14 0.1298 0.2280 0.6203
H15 0.3923 0.7907 0.7670
H16 0.3241 0.8990 0.3288
H17 0.8702 0.7720 0.3797
H18 0.1845 0.4406 0.7500
H19 0.2858 0.0134 0.1382
H20 0.5131 0.3381 0.9817
O1 0.3177 0.0846 0.0840
O2 0.3243 0.2818 0.4179
O3 0.2633 0.6708 0.9802
O4 0.0291 0.2314 0.9490
O5 0.4999 0.1815 0.5799
O6 0.9636 0.2553 0.2615
O7 0.1778 0.6102 0.4854
O8 0.5215 0.5067 0.3153
O9 0.4785 0.4933 0.6847
O10 0.0364 0.7447 0.7385
O11 0.3844 0.3306 0.9785
O12 0.9337 0.1067 0.4297
O13 0.5001 0.8185 0.4201
O14 0.6823 0.9154 0.9160
O15 0.9709 0.7686 0.0510
O16 0.1137 0.6067 0.1732
O17 0.6757 0.7182 0.5821
O18 0.6156 0.6694 0.0215
O19 0.8222 0.3898 0.5146
O20 0.0663 0.8933 0.5703
O21 0.8862 0.3933 0.8268
O22 0.7367 0.3292 0.0197
Pr1 0.2258 0.3728 0.2117
Pr2 0.7742 0.6273 0.7883
N1 0.7704 0.6804 0.3058
N2 0.3232 0.8767 0.7442
N3 0.6768 0.1233 0.2558
N4 0.2296 0.3196 0.6942
N5 0.7776 0.0851 0.7427
N6 0.2224 0.9149 0.2573
```


(3)
ReH4NO4 after structural relaxation. Source: OQMD, functional PBE.

Output
Symmetry   I4_1/a, No. 88
Total magnetic moment   0.00 μB per cell
Total energy   -6.476 eV per atom

Cell and atoms, written as CIF:
```
data_ReH4NO4
_space_group_name_H-M_alt 'P 1'
_space_group_IT_number 1
_cell_length_a 7.5382
_cell_length_b 7.5382
_cell_length_c 7.5382
_cell_angle_alpha 136.19
_cell_angle_beta 136.19
_cell_angle_gamma 63.68
loop_
_space_group_symop_operation_xyz
'x,y,z'
loop_
_atom_site_label
_atom_site_fract_x
_atom_site_fract_y
_atom_site_fract_z
O1 0.6456 0.5415 0.3451
O2 0.6995 0.3544 0.8959
O3 0.5536 0.9495 0.8451
O4 0.4585 0.8036 0.1041
O5 0.0505 0.8956 0.6041
O6 0.1044 0.7085 0.1549
O7 0.1964 0.3005 0.6549
O8 0.2915 0.4464 0.3959
H1 0.8624 0.8338 0.7883
H2 0.8241 0.1124 0.5286
H3 0.9259 0.1376 0.9714
H4 0.5838 0.2955 0.4714
H5 0.1662 0.9545 0.0286
H6 0.8876 0.4162 0.7117
H7 0.7045 0.1759 0.2883
H8 0.0455 0.0741 0.2117
N1 0.7500 0.2500 0.5000
N2 0.0000 0.0000 0.0000
Re1 0.5000 0.5000 0.0000
Re2 0.2500 0.7500 0.5000
```


(4)
SmH8S3N3O10 after structural relaxation. Source: OQMD, functional PBE.

Output
Symmetry   P-1, No. 2
Total magnetic moment   0.02 μB per cell
Total energy   -5.889 eV per atom

Cell and atoms, written as CIF:
```
data_SmH8S3N3O10
_space_group_name_H-M_alt 'P 1'
_space_group_IT_number 1
_cell_length_a 6.5736
_cell_length_b 9.1330
_cell_length_c 9.1105
_cell_angle_alpha 68.30
_cell_angle_beta 75.61
_cell_angle_gamma 83.56
loop_
_space_group_symop_operation_xyz
'x,y,z'
loop_
_atom_site_label
_atom_site_fract_x
_atom_site_fract_y
_atom_site_fract_z
O1 0.4833 0.1392 0.5974
O2 0.5167 0.8608 0.4026
O3 0.0442 0.6637 0.7526
O4 0.7798 0.9116 0.6572
O5 0.5039 0.1882 0.0299
O6 0.7874 0.0872 0.8625
O7 0.7278 0.4991 0.3797
O8 0.1552 0.7050 0.0418
O9 0.9558 0.3363 0.2474
O10 0.2354 0.1608 0.8336
O11 0.7765 0.5610 0.0841
O12 0.7646 0.8392 0.1664
O13 0.2722 0.5009 0.6203
O14 0.8141 0.0380 0.2714
O15 0.4961 0.8118 0.9701
O16 0.2235 0.4390 0.9159
O17 0.8448 0.2950 0.9582
O18 0.1859 0.9620 0.7286
O19 0.2126 0.9128 0.1375
O20 0.2202 0.0884 0.3428
S1 0.7004 0.2256 0.9042
S2 0.2996 0.7744 0.0958
S3 0.2324 0.5584 0.7534
S4 0.7356 0.8815 0.3097
S5 0.2644 0.1185 0.6903
S6 0.7676 0.4416 0.2466
H1 0.3291 0.0067 0.3751
H2 0.4110 0.6816 0.3256
H3 0.0269 0.7561 0.3849
H4 0.4700 0.7443 0.6160
H5 0.1850 0.3534 0.5242
H6 0.8150 0.6466 0.4758
H7 0.5890 0.3184 0.6744
H8 0.3741 0.5338 0.2634
H9 0.8263 0.8559 0.5779
H10 0.9731 0.2439 0.6151
H11 0.5671 0.3030 0.1819
H12 0.6709 0.9933 0.6249
H13 0.4329 0.6970 0.8181
H14 0.1737 0.1441 0.4221
H15 0.5300 0.2557 0.3840
H16 0.6259 0.4662 0.7366
Sm1 0.1296 0.1850 0.0914
Sm2 0.8704 0.8150 0.9086
N1 0.5535 0.3469 0.2729
N2 0.1301 0.2411 0.5602
N3 0.6784 0.3561 0.7309
N4 0.3216 0.6439 0.2691
N5 0.8699 0.7589 0.4398
N6 0.4465 0.6531 0.7271
```


(5)
ZnH12S2N4O8 after structural relaxation. Source: OQMD, functional PBE.

Output
Symmetry   Pna2_1, No. 33
Total energy   -5.291 eV per atom

Cell and atoms, written as CIF:
```
data_ZnH12S2N4O8
_space_group_name_H-M_alt 'P 1'
_space_group_IT_number 1
_cell_length_a 9.9105
_cell_length_b 12.4697
_cell_length_c 7.7702
_cell_angle_alpha 90.00
_cell_angle_beta 90.00
_cell_angle_gamma 90.00
loop_
_space_group_symop_operation_xyz
'x,y,z'
loop_
_atom_site_label
_atom_site_fract_x
_atom_site_fract_y
_atom_site_fract_z
H1 0.4544 0.1604 0.2813
H2 0.4661 0.6190 0.1135
H3 0.1835 0.6279 0.6790
H4 0.4659 0.6174 0.8976
H5 0.5269 0.8463 0.2176
H6 0.2282 0.4095 0.8758
H7 0.7282 0.0905 0.8758
H8 0.9659 0.8826 0.8976
H9 0.3602 0.2512 0.6984
H10 0.8254 0.2570 0.2784
H11 0.3275 0.1488 0.8207
H12 0.6746 0.7570 0.7784
H13 0.7547 0.1027 0.0843
H14 0.2547 0.3973 0.0843
H15 0.0341 0.1174 0.3976
H16 0.2718 0.9095 0.3758
H17 0.1746 0.7430 0.7784
H18 0.2453 0.8973 0.5843
H19 0.9544 0.3396 0.2813
H20 0.6835 0.8721 0.6790
H21 0.9142 0.7751 0.0003
H22 0.8275 0.3512 0.8207
H23 0.6013 0.0807 0.0119
H24 0.0269 0.6537 0.2176
H25 0.8602 0.2488 0.6984
H26 0.7453 0.6027 0.5843
H27 0.9731 0.3463 0.7176
H28 0.3987 0.9193 0.5119
H29 0.1725 0.6488 0.3207
H30 0.1398 0.7512 0.1984
H31 0.8987 0.5807 0.5119
H32 0.8165 0.3721 0.1790
H33 0.3254 0.2430 0.2784
H34 0.5858 0.2751 0.5003
H35 0.0456 0.6604 0.7813
H36 0.1013 0.4193 0.0119
H37 0.5456 0.8396 0.7813
H38 0.0339 0.1190 0.6135
H39 0.5341 0.3826 0.3976
H40 0.3165 0.1279 0.1790
H41 0.0858 0.2249 0.5003
H42 0.4142 0.7249 0.0003
H43 0.6725 0.8512 0.3207
H44 0.5339 0.3810 0.6135
H45 0.6398 0.7488 0.1984
H46 0.4731 0.1537 0.7176
H47 0.9661 0.8810 0.1135
H48 0.7718 0.5905 0.3758
N1 0.6280 0.8304 0.2063
N2 0.0847 0.1430 0.5050
N3 0.1280 0.6696 0.2063
N4 0.8720 0.3304 0.7063
N5 0.2993 0.9386 0.4942
N6 0.4153 0.6430 0.0050
N7 0.1491 0.6638 0.7889
N8 0.9153 0.8570 0.0050
N9 0.3509 0.1638 0.2889
N10 0.8509 0.3362 0.2889
N11 0.5847 0.3570 0.5050
N12 0.6491 0.8362 0.7889
N13 0.3720 0.1696 0.7063
N14 0.2007 0.4386 0.9942
N15 0.7007 0.0614 0.9942
N16 0.7993 0.5614 0.4942
Zn1 0.7785 0.4031 0.5054
Zn2 0.2785 0.0969 0.5054
Zn3 0.2215 0.5969 0.0054
Zn4 0.7215 0.9031 0.0054
S1 0.3310 0.9247 0.9807
S2 0.5527 0.3651 0.9980
S3 0.0527 0.1349 0.9980
S4 0.4473 0.6349 0.4980
S5 0.8310 0.5753 0.9807
S6 0.1690 0.4247 0.4807
S7 0.6690 0.0753 0.4807
S8 0.9473 0.8651 0.4980
O1 0.4748 0.3426 0.1521
O2 0.8851 0.9819 0.5684
O3 0.0252 0.8426 0.6521
O4 0.5272 0.6102 0.3463
O5 0.8215 0.0386 0.4194
O6 0.9728 0.1102 0.8463
O7 0.0272 0.8898 0.3463
O8 0.9100 0.4781 0.0002
O9 0.8615 0.6408 0.8301
O10 0.8322 0.7958 0.4668
O11 0.1678 0.2042 0.9668
O12 0.8160 0.6371 0.1390
O13 0.3160 0.8629 0.1390
O14 0.6840 0.1371 0.6390
O15 0.1149 0.0181 0.0684
O16 0.9748 0.1574 0.1521
O17 0.3215 0.4614 0.4194
O18 0.1785 0.9614 0.9194
O19 0.4100 0.0219 0.0002
O20 0.0900 0.5219 0.5002
O21 0.1840 0.3629 0.6390
O22 0.4728 0.3898 0.8463
O23 0.1385 0.3592 0.3301
O24 0.6678 0.2958 0.9668
O25 0.5252 0.6574 0.6521
O26 0.5900 0.9781 0.5002
O27 0.3851 0.5181 0.5684
O28 0.3615 0.8592 0.8301
O29 0.3322 0.7042 0.4668
O30 0.6149 0.4819 0.0684
O31 0.6785 0.5386 0.9194
O32 0.6385 0.1408 0.3301
```


(6)
ZnH20Se2N2O14 after structural relaxation. Source: OQMD, functional PBE.

Output
Symmetry   P2_1/c, No. 14
Total energy   -5.012 eV per atom

Cell and atoms, written as CIF:
```
data_ZnH20Se2N2O14
_space_group_name_H-M_alt 'P 1'
_space_group_IT_number 1
_cell_length_a 6.1621
_cell_length_b 12.2055
_cell_length_c 9.0870
_cell_angle_alpha 90.00
_cell_angle_beta 106.26
_cell_angle_gamma 90.00
loop_
_space_group_symop_operation_xyz
'x,y,z'
loop_
_atom_site_label
_atom_site_fract_x
_atom_site_fract_y
_atom_site_fract_z
O1 0.3999 0.9468 0.7375
O2 0.0245 0.8211 0.6084
O3 0.9473 0.6119 0.6635
O4 0.8372 0.8844 0.8313
O5 0.2126 0.5475 0.9298
O6 0.7874 0.0475 0.5702
O7 0.0245 0.6789 0.1084
O8 0.6886 0.0650 0.9901
O9 0.6001 0.0532 0.2625
O10 0.1628 0.3844 0.6687
O11 0.6001 0.4468 0.7625
O12 0.9755 0.1789 0.3916
O13 0.0527 0.3881 0.3365
O14 0.5677 0.2697 0.9324
O15 0.9473 0.8881 0.1635
O16 0.3114 0.5650 0.5099
O17 0.6886 0.4350 0.4901
O18 0.4323 0.7697 0.5676
O19 0.1628 0.1156 0.1687
O20 0.4323 0.7303 0.0676
O21 0.3999 0.5532 0.2375
O22 0.0527 0.1119 0.8365
O23 0.7874 0.4525 0.0702
O24 0.9755 0.3211 0.8916
O25 0.3114 0.9350 0.0099
O26 0.2126 0.9525 0.4298
O27 0.8372 0.6156 0.3313
O28 0.5677 0.2303 0.4324
H1 0.6801 0.9117 0.7880
H2 0.9861 0.6877 0.6403
H3 0.9501 0.4071 0.2335
H4 0.6631 0.3551 0.4696
H5 0.0139 0.1877 0.8597
H6 0.5388 0.6902 0.9187
H7 0.0499 0.9070 0.2665
H8 0.0139 0.3123 0.3597
H9 0.6139 0.5842 0.8181
H10 0.0974 0.3734 0.7557
H11 0.8066 0.6739 0.9233
H12 0.4612 0.3098 0.0813
H13 0.6631 0.1449 0.9696
H14 0.1934 0.3261 0.0767
H15 0.9861 0.8123 0.1403
H16 0.3485 0.5520 0.4117
H17 0.3199 0.4117 0.7120
H18 0.6176 0.7149 0.7562
H19 0.6801 0.5883 0.2880
H20 0.3199 0.0883 0.2120
H21 0.9026 0.6266 0.2443
H22 0.0974 0.1266 0.2557
H23 0.6515 0.0520 0.0883
H24 0.1934 0.1739 0.5767
H25 0.3861 0.0842 0.6819
H26 0.6139 0.9158 0.3181
H27 0.6176 0.7851 0.2562
H28 0.3824 0.2149 0.7438
H29 0.3861 0.4158 0.1819
H30 0.3485 0.9480 0.9117
H31 0.3369 0.8551 0.0304
H32 0.9026 0.8734 0.7443
H33 0.3824 0.2851 0.2438
H34 0.5388 0.8098 0.4187
H35 0.6515 0.4480 0.5883
H36 0.9501 0.0930 0.7335
H37 0.8066 0.8261 0.4233
H38 0.3369 0.6449 0.5304
H39 0.0499 0.5930 0.7665
H40 0.4612 0.1902 0.5813
Se1 0.7375 0.3739 0.9163
Se2 0.7375 0.1261 0.4163
Se3 0.2626 0.6261 0.0837
Se4 0.2626 0.8739 0.5837
N1 0.3566 0.3343 0.1479
N2 0.3566 0.1657 0.6479
N3 0.6434 0.8343 0.3521
N4 0.6434 0.6657 0.8521
Zn1 0.0000 0.5000 0.5000
Zn2 0.0000 0.0000 0.0000
```


(7)
PaHN after structural relaxation. Source: OQMD, functional PBE.

Output
Symmetry   F-43m, No. 216
Total magnetic moment   0.97 μB per cell
Total energy   -8.164 eV per atom

Cell and atoms, written as CIF:
```
data_PaHN
_space_group_name_H-M_alt 'P 1'
_space_group_IT_number 1
_cell_length_a 3.8062
_cell_length_b 3.8062
_cell_length_c 3.8062
_cell_angle_alpha 60.00
_cell_angle_beta 60.00
_cell_angle_gamma 60.00
loop_
_space_group_symop_operation_xyz
'x,y,z'
loop_
_atom_site_label
_atom_site_fract_x
_atom_site_fract_y
_atom_site_fract_z
H1 0.0000 0.0000 0.0000
N1 0.5000 0.5000 0.5000
Pa1 0.7500 0.7500 0.7500
```


> Which value of total energy does entry 2 give?

-5.789 eV per atom


> Which formula does entry 5 have?

ZnH12S2N4O8